# Ba2MgRh

A relaxed structure of Ba2MgRh (PBE, the Alexandria database).

Cell and atoms, written as extended XYZ:
```
4
Lattice="3.914 0.000 0.000 0.000 3.920 0.021 0.000 3.860 8.778" Properties=species:S:1:pos:R:3 pbc="T T T"
Ba 0.000 3.892 4.808
Ba 0.000 3.859 8.370
Mg 1.957 1.945 2.200
Rh 1.957 5.836 6.600
```

The crystal system is monoclinic. The calculation puts the volume at 134.37 Å³/f.u. The space group is P2/m (10). As for the calculated formation energy: -0.02 eV/atom.